(1)
# Tl2SbMo

An optimized crystal structure of Tl2SbMo (PBE-GGA, Alexandria).

Results
Excess energy over the best structure of this formula in the dataset (kJ per mole of atoms): 11.1
Space-group type: Imm2
Formation energy from raw total energies (eV/atom): 0.4246
Spin magnetization (μB per formula unit): 0.0

abc: 7.539 7.539 7.539
angles: 156.49 141.59 45.53
Fractional positions:
Tl 0.000 0.000 0.000
Tl 0.679 0.179 0.500
Sb 0.361 0.361 0.000
Mo 0.195 0.695 0.500

(2)
# NaGaS4

An optimized crystal structure of NaGaS4 (PBE-GGA, Alexandria).

Results
Space-group type: C2/c
Formation energy from raw total energies (eV/atom): -0.3757
Spin magnetization (μB per formula unit): 1.1

abc: 10.192 10.192 5.950
angles: 96.09 96.09 142.56
Fractional positions:
Na 0.052 0.948 0.750
Na 0.948 0.052 0.250
Ga 0.498 0.502 0.750
Ga 0.502 0.498 0.250
S 0.174 0.669 0.358
S 0.228 0.352 0.931
S 0.331 0.826 0.142
S 0.352 0.228 0.431
S 0.648 0.772 0.569
S 0.669 0.174 0.858
S 0.772 0.648 0.069
S 0.826 0.331 0.642

(3)
# LiGdHoCu

An optimized crystal structure of LiGdHoCu (PBE-GGA, Alexandria).

Results
Space-group type: F-43m
Energy of formation from the pure elements (eV per formula unit): -0.1
Spin magnetization (μB per formula unit): 7.4

abc: 5.040 5.040 5.040
angles: 60.00 60.00 60.00
Fractional positions:
Li 0.000 0.000 0.000
Gd 0.750 0.750 0.750
Ho 0.250 0.250 0.250
Cu 0.500 0.500 0.500

(4)
# MnCuSiP

An optimized crystal structure of MnCuSiP (PBE-GGA, Alexandria).

Results
Excess energy over the best structure of this formula in the dataset (kJ per mole of atoms): 8.7
Space-group type: Amm2
Formation energy from raw total energies (eV/atom): -0.0758
Spin magnetization (μB per formula unit): 0.0

abc: 2.749 6.502 6.502
angles: 25.61 90.00 90.00
Fractional positions:
Mn 0.000 0.000 0.000
Cu 0.000 0.779 0.779
Si 0.500 0.619 0.619
P 0.500 0.407 0.407

(5)
# YScGe2

An optimized crystal structure of YScGe2 (PBE-GGA, Alexandria).

Results
Excess energy over the best structure of this formula in the dataset (kJ per mole of atoms): 0.9
Space-group type: Pmc2_1
Energy of formation from the pure elements (eV per formula unit): -3.3
Spin magnetization (μB per formula unit): 0.0

abc: 3.879 5.630 7.760
angles: 90.00 90.00 90.00
Fractional positions:
Y 0.000 0.130 0.000
Y 0.000 0.870 0.500
Sc 0.500 0.371 0.638
Sc 0.500 0.629 0.138
Ge 0.000 0.399 0.361
Ge 0.000 0.601 0.861
Ge 0.500 0.104 0.277
Ge 0.500 0.896 0.777

(6)
# CdNiMo3

An optimized crystal structure of CdNiMo3 (PBE-GGA, Alexandria).

Results
Excess energy over the best structure of this formula in the dataset (kJ per mole of atoms): 0.0
Space-group type: Pm-3m
Energy of formation from the pure elements (eV per formula unit): 6.1
Spin magnetization (μB per formula unit): 0.0

abc: 4.519 4.519 4.519
angles: 90.00 90.00 90.00
Fractional positions:
Cd 0.000 0.000 0.000
Ni 0.500 0.500 0.500
Mo 0.000 0.500 0.500
Mo 0.500 0.000 0.500
Mo 0.500 0.500 0.000

(7)
# YThHgAu

An optimized crystal structure of YThHgAu (PBE-GGA, Alexandria).

Results
Excess energy over the best structure of this formula in the dataset (kJ per mole of atoms): 0.0
Space-group type: P4mm
Energy of formation from the pure elements (eV per formula unit): -2.1
Spin magnetization (μB per formula unit): 0.0

abc: 3.645 3.645 7.726
angles: 90.00 90.00 90.00
Fractional positions:
Y 0.000 0.000 0.000
Th 0.000 0.000 0.477
Hg 0.500 0.500 0.754
Au 0.500 0.500 0.216

(8)
# Mn2InMo

An optimized crystal structure of Mn2InMo (PBE-GGA, Alexandria).

Results
Space-group type: Imm2
Energy of formation from the pure elements (eV per formula unit): 1.1
Spin magnetization (μB per formula unit): 3.6

abc: 5.147 5.147 5.147
angles: 144.08 129.44 63.57
Fractional positions:
Mn 0.000 0.000 0.000
Mn 0.759 0.259 0.500
In 0.493 0.493 0.000
Mo 0.220 0.720 0.500

(9)
# CoSbAs2

An optimized crystal structure of CoSbAs2 (PBE-GGA, Alexandria).

Results
Space-group type: C2/m
Formation energy from raw total energies (eV/atom): 0.3248
Spin magnetization (μB per formula unit): 0.0

abc: 5.768 5.768 3.788
angles: 108.45 108.45 125.51
Fractional positions:
Co 0.000 0.000 0.000
Sb 0.500 0.500 0.000
As 0.000 0.500 0.500
As 0.500 0.000 0.500

(10)
# LiNd2SnS4

An optimized crystal structure of LiNd2SnS4 (PBE-GGA, Alexandria).

Results
Space-group type: P2/m
Formation energy from raw total energies (eV/atom): -1.4372
Spin magnetization (μB per formula unit): 0.0

abc: 6.969 4.056 7.095
angles: 90.00 109.06 90.00
Fractional positions:
Li 0.000 0.000 0.000
Nd 0.000 0.500 0.500
Nd 0.500 0.000 0.500
Sn 0.500 0.500 0.000
S 0.244 0.000 0.751
S 0.246 0.500 0.249
S 0.754 0.500 0.751
S 0.756 0.000 0.249

(11)
# TlAuC

An optimized crystal structure of TlAuC (PBE-GGA, Alexandria).

Results
Space-group type: Pnma
Energy of formation from the pure elements (eV per formula unit): 3.6
Spin magnetization (μB per formula unit): 0.0

abc: 12.289 3.691 5.506
angles: 90.00 90.00 90.00
Fractional positions:
Tl 0.052 0.250 0.242
Tl 0.448 0.750 0.742
Tl 0.552 0.250 0.258
Tl 0.948 0.750 0.758
Au 0.216 0.250 0.704
Au 0.284 0.750 0.204
Au 0.716 0.250 0.796
Au 0.784 0.750 0.296
C 0.194 0.750 0.526
C 0.306 0.250 0.026
C 0.694 0.750 0.974
C 0.806 0.250 0.474

(12)
# Mg3MoC

An optimized crystal structure of Mg3MoC (PBE-GGA, Alexandria).

Results
Excess energy over the best structure of this formula in the dataset (kJ per mole of atoms): 149.2
Space-group type: Pm-3m
Energy of formation from the pure elements (eV per formula unit): 11.9
Spin magnetization (μB per formula unit): 4.9

abc: 5.313 5.313 5.313
angles: 90.00 90.00 90.00
Fractional positions:
Mg 0.000 0.000 0.500
Mg 0.000 0.500 0.000
Mg 0.500 0.000 0.000
Mo 0.000 0.000 0.000
C 0.500 0.500 0.500

(13)
# UPa2Se6

An optimized crystal structure of UPa2Se6 (PBE-GGA, Alexandria).

Results
Excess energy over the best structure of this formula in the dataset (kJ per mole of atoms): 0.0
Space-group type: P2_1/c
Formation energy from raw total energies (eV/atom): -1.2228
Spin magnetization (μB per formula unit): 4.0

abc: 6.858 7.167 11.383
angles: 90.00 117.78 90.00
Fractional positions:
U 0.000 0.000 0.000
U 0.000 0.500 0.500
Pa 0.333 0.116 0.779
Pa 0.333 0.384 0.279
Pa 0.667 0.616 0.721
Pa 0.667 0.884 0.221
Se 0.062 0.072 0.255
Se 0.062 0.428 0.755
Se 0.269 0.675 0.089
Se 0.269 0.825 0.589
Se 0.392 0.192 0.063
Se 0.392 0.308 0.563
Se 0.608 0.692 0.437
Se 0.608 0.808 0.937
Se 0.731 0.175 0.411
Se 0.731 0.325 0.911
Se 0.938 0.572 0.245
Se 0.938 0.928 0.745

(14)
# NaEr2Tm

An optimized crystal structure of NaEr2Tm (PBE-GGA, Alexandria).

Results
Excess energy over the best structure of this formula in the dataset (kJ per mole of atoms): 0.0
Space-group type: P4/mmm
Energy of formation from the pure elements (eV per formula unit): 0.6
Spin magnetization (μB per formula unit): 0.0

abc: 3.495 3.495 10.421
angles: 90.00 90.00 90.00
Fractional positions:
Na 0.000 0.000 0.000
Er 0.500 0.500 0.273
Er 0.500 0.500 0.727
Tm 0.000 0.000 0.500

(15)
# Nd3In3Ag8

An optimized crystal structure of Nd3In3Ag8 (PBE-GGA, Alexandria).

Results
Space-group type: Immm
Energy of formation from the pure elements (eV per formula unit): -3.1
Spin magnetization (μB per formula unit): 0.0

abc: 8.876 8.876 8.876
angles: 149.83 110.08 78.01
Fractional positions:
Nd 0.000 0.000 0.000
Nd 0.299 0.299 0.000
Nd 0.701 0.701 0.000
In 0.292 0.500 0.792
In 0.500 0.000 0.500
In 0.708 0.500 0.208
Ag 0.031 0.665 0.366
Ag 0.146 0.862 0.284
Ag 0.299 0.665 0.634
Ag 0.421 0.138 0.284
Ag 0.579 0.862 0.716
Ag 0.701 0.335 0.366
Ag 0.854 0.138 0.716
Ag 0.969 0.335 0.634

(16)
# LiPmPrSn

An optimized crystal structure of LiPmPrSn (PBE-GGA, Alexandria).

Results
Space-group type: F-43m
Energy of formation from the pure elements (eV per formula unit): -1.8
Spin magnetization (μB per formula unit): 0.0

abc: 5.395 5.395 5.395
angles: 60.00 60.00 60.00
Fractional positions:
Li 0.000 0.000 0.000
Pm 0.250 0.250 0.250
Pr 0.750 0.750 0.750
Sn 0.500 0.500 0.500